# RbSnS3 PBE-GGA relaxed
data_RbSnS3
_chemical_formula_sum 'Rb1 Sn1 S3'
_symmetry_space_group_name_H-M 'P m -3 m'
_symmetry_Int_Tables_number 221
_symmetry_space_group_name_Hall '-P 4 2 3'
_cell_length_a 5.130
_cell_length_b 5.130
_cell_length_c 5.130
_cell_angle_alpha 90.00
_cell_angle_beta 90.00
_cell_angle_gamma 90.00
loop_
_atom_site_label
_atom_site_fract_x
_atom_site_fract_y
_atom_site_fract_z
Rb1 0.000 0.000 0.000
Sn1 0.500 0.500 0.500
S1 0.000 0.500 0.500
# DOS at the Fermi energy (states/eV per cell): 4.09
# Formation energy without anion corrections (kJ/mol of formula units): -148
# Calculated total energy (eV/cell): -18.9
# Total magnetic moment (μB/cell): 0.000
# Crystal system: cubic